Record 1
Computed, not measured: a relaxed structure of ZnTc2Sn at the PBE level of DFT.

It has space group F-43m (No. 216), with a = 6.3432 Å, b = 6.3432 Å, c = 6.3432 Å, α = 90.00°, β = 90.00° and γ = 90.00°. The inequivalent atoms are Zn at (0.0000, 0.0000, 0.0000), Tc at (0.0000, 0.0000, 0.5000), Tc at (0.2500, 0.2500, 0.2500) and Sn at (0.2500, 0.2500, 0.7500).

For the total magnetization, the calculation gives 0.054 μB/f.u. The calculated total energy comes out at -6.21 eV/atom.

Record 2
Computed, not measured: a relaxed structure of Sc2NiIr at the PBE level of DFT.

It has space group Cmmm (No. 65), with a = 6.4024 Å, b = 6.4628 Å, c = 3.1698 Å, α = 90.00°, β = 90.00° and γ = 90.00°. The inequivalent atoms are Sc at (0.2500, 0.2500, 0.0000), Ni at (0.0000, 0.0000, 0.5000) and Ir at (0.0000, 0.5000, 0.5000).

The energy above the most stable polymorph in this dataset is 0.0157 eV per atom. For the total magnetization, the calculation gives 0.000 μB/f.u. The energy of formation from the pure elements is -0.7931 eV/atom.

Record 3
Computed, not measured: a relaxed structure of Pr5Sn2Sb2 at the PBE level of DFT.

It has space group Cmce (No. 64), with a = 16.0405 Å, b = 8.4359 Å, c = 8.4946 Å, α = 90.00°, β = 90.00° and γ = 90.00°. The inequivalent atoms are Pr at (0.0000, 0.0000, 0.0000), Pr at (0.1373, 0.1718, 0.3326), Sn at (0.0000, 0.1286, 0.6291) and Sb at (0.2028, 0.0000, 0.0000).

For the total magnetization, the calculation gives 0.032 μB/f.u. The calculated total energy comes out at -5.41 eV/atom.

Record 4
Computed, not measured: a relaxed structure of CdIn2Te at the PBE level of DFT.

It has space group F-43m (No. 216), with a = 7.6971 Å, b = 7.6971 Å, c = 7.6971 Å, α = 90.00°, β = 90.00° and γ = 90.00°. The inequivalent atoms are Cd at (0.0000, 0.0000, 0.0000), In at (0.0000, 0.0000, 0.5000), In at (0.2500, 0.2500, 0.2500) and Te at (0.2500, 0.2500, 0.7500).

The calculated total energy comes out at -2.35 eV/atom.

Record 5
Computed, not measured: a relaxed structure of SrYNp at the PBE level of DFT.

It has space group F-43m (No. 216), with a = 7.8701 Å, b = 7.8701 Å, c = 7.8701 Å, α = 90.00°, β = 90.00° and γ = 90.00°. The inequivalent atoms are Sr at (0.0000, 0.0000, 0.0000), Y at (0.2500, 0.2500, 0.2500) and Np at (0.0000, 0.0000, 0.5000).

For the total magnetization, the calculation gives 6.274 μB/f.u. The calculated total energy comes out at -5.62 eV/atom.

Record 6
Computed, not measured: a relaxed structure of LiAlNi2 at the PBE level of DFT.

It has space group Cmmm (No. 65), with a = 5.5127 Å, b = 6.0362 Å, c = 2.7541 Å, α = 90.00°, β = 90.00° and γ = 90.00°. The inequivalent atoms are Li at (0.0000, 0.0000, 0.0000), Al at (0.0000, 0.5000, 0.0000) and Ni at (0.2500, 0.2500, 0.5000).

For the total magnetization, the calculation gives 0.003 μB/f.u. The calculated total energy comes out at -4.57 eV/atom.